Compound: BaCrH2O
Source: the Alexandria database
Functional: GGA+U
Structure: relaxed

## Properties
* electronic total energy: -5.255 eV/atom
* theoretical density: 5.15 g cm⁻³
* total moment: 3.98 Bohr magnetons per cell

CIF file:
```
data_BaCrH2O
_symmetry_space_group_name_H-M 'P 4/m m m'
_symmetry_Int_Tables_number 123
_symmetry_space_group_name_Hall '-P 4 2'
_cell_length_a 4.0181
_cell_length_b 4.0181
_cell_length_c 4.1421
_cell_angle_alpha 90.00
_cell_angle_beta 90.00
_cell_angle_gamma 90.00
loop_
_atom_site_label
_atom_site_type_symbol
_atom_site_fract_x
_atom_site_fract_y
_atom_site_fract_z
Ba1 Ba 0.0000 0.0000 0.0000
Cr1 Cr 0.5000 0.5000 0.5000
H1 H 0.0000 0.5000 0.5000
O1 O 0.5000 0.5000 0.0000
```